Record 1
Density functional theory data (PBE-GGA) for a relaxed Er5Ga2 crystal.

Calculated values
The calculation puts the magnetization at 0.0 μB per formula unit. The total energy is -4.417 eV/atom. For the energy above the most stable polymorph in this dataset, the calculation gives 3.7 kJ/mol of atoms. The space group is Ibam. As for the formation energy from the elements: -293.4 meV per atom.

```
14
Lattice="5.939 0.000 -2.521 -1.411 6.980 -3.323 0.206 -0.220 8.742" Properties=species:S:1:pos:R:3 pbc="T T T"
Ga 5.200 0.498 3.993
Ga -0.465 6.262 -1.095
Ga 3.287 2.390 -0.512
Ga 1.447 4.370 3.410
Er 3.749 3.490 -3.552
Er 2.544 0.358 5.993
Er 4.893 5.004 -0.857
Er 0.181 1.653 0.426
Er 4.554 5.107 2.472
Er 0.779 3.490 -2.292
Er 2.190 6.402 -3.096
Er 2.811 1.755 2.494
Er 1.924 5.004 0.404
Er -0.159 1.755 3.754
```

Record 2
Density functional theory data (PBE-GGA) for a relaxed Er4Ga crystal.

Calculated values
The calculation puts the magnetization at 0.0 μB per formula unit. The total energy is -4.116 eV/atom. For the energy above the most stable polymorph in this dataset, the calculation gives 29.1 kJ/mol of atoms. The space group is Pm-3m. As for the formation energy from the elements: 140.1 meV per atom.

```
5
Lattice="-4.868 0.361 2.436 -1.907 -3.969 -3.221 1.559 -3.726 3.668" Properties=species:S:1:pos:R:3 pbc="T T T"
Er -3.388 -1.804 -0.392
Er 0.000 0.000 0.000
Er -1.655 -1.682 3.052
Er -0.174 -3.848 0.223
Ga -2.608 -3.667 1.442
```